1.
Below is KTbCoTe3 after structural relaxation, with properties calculated at the PBE level.

Cell and atoms, written as POSCAR:
```
KTbCoTe3
1.0
-5.881 -14.077 -5.889
1.176 -1.976 3.547
-10.213 2.312 4.674
Te K Tb Co
12 4 4 4
direct
0.577 0.750 0.610
0.367 0.250 0.731
0.133 0.750 0.231
0.396 0.750 0.082
0.633 0.750 0.269
0.077 0.750 0.890
0.423 0.250 0.390
0.604 0.250 0.918
0.104 0.250 0.582
0.896 0.750 0.418
0.867 0.250 0.769
0.923 0.250 0.110
0.732 0.250 0.480
0.768 0.750 0.980
0.232 0.250 0.020
0.268 0.750 0.520
0.477 0.750 0.843
0.523 0.250 0.157
0.023 0.250 0.343
0.977 0.750 0.657
0.510 0.750 0.414
0.490 0.250 0.586
0.010 0.750 0.086
0.990 0.250 0.914
```

DFT total energy (eV/atom): -4.561

2.
Below is KTbCoTe3 after structural relaxation, with properties calculated at the PBE level.

Cell and atoms, written as POSCAR:
```
KTbCoTe3
1.0
8.034 -2.135 0.000
8.034 2.135 0.000
0.000 0.000 11.423
Tb Te K Co
2 6 2 2
direct
0.000 0.000 0.500
0.000 0.000 0.000
0.373 0.373 0.428
0.069 0.069 0.250
0.627 0.627 0.572
0.373 0.373 0.072
0.931 0.931 0.750
0.627 0.627 0.928
0.749 0.749 0.250
0.251 0.251 0.750
0.473 0.473 0.250
0.527 0.527 0.750
```

DFT total energy (eV/atom): -4.546

3.
Below is KCoTc after structural relaxation, with properties calculated at the PBE level.

Cell and atoms, written as POSCAR:
```
KCoTc
1.0
0.945 -2.833 3.269
-3.205 -2.495 1.762
-0.079 -4.362 -0.758
K Tc Co
1 1 1
direct
0.250 0.250 0.250
0.750 0.750 0.750
0.000 0.000 0.000
```

DFT total energy (eV/atom): -4.317

4.
Below is KCoTe after structural relaxation, with properties calculated at the PBE level.

Cell and atoms, written as POSCAR:
```
KCoTe
1.0
-3.115 -3.266 2.598
-4.721 -1.143 -1.878
-0.964 -4.749 -1.907
K Te Co
1 1 1
direct
0.000 0.000 0.000
0.750 0.750 0.750
0.250 0.250 0.250
```

DFT total energy (eV/atom): -2.902